No. 1
This record from Alexandria via LeMat-Bulk describes crystalline SrLaW2 at its relaxed geometry. The functional is PBE-GGA.

## Properties
- total moment (μB per cell) = 0.00
- energy relative to the lowest polymorph listed for this composition (eV/f.u.) = 1.54
- DFT formation energy (eV per atom) = 0.923

The structure in CIF format:
```
data_SrLaW2
_chemical_formula_sum 'Sr1 La1 W2'
_cell_length_a 5.8357
_cell_length_b 5.8357
_cell_length_c 6.4967
_cell_angle_alpha 62.84
_cell_angle_beta 62.84
_cell_angle_gamma 38.48
_space_group_name_H-M_alt 'P 1'
_space_group_IT_number 1
_space_group_name_Hall 'P 1'
loop_
_atom_site_label
_atom_site_fract_x
_atom_site_fract_y
_atom_site_fract_z
_atom_site_occupancy
W1 0.4948 0.4948 0.6319 1
La1 0.7500 0.7500 0.7500 1
Sr1 0.2500 0.2500 0.2500 1
W2 0.0052 0.0052 0.8681 1
```

No. 2
This record from Alexandria via LeMat-Bulk describes crystalline Cu3IrAu at its relaxed geometry. The functional is PBE-GGA.

## Properties
- total moment (μB per cell) = 0.75
- energy relative to the lowest polymorph listed for this composition (eV/f.u.) = 1.57
- DFT formation energy (eV per atom) = 1.460

The structure in CIF format:
```
data_Cu3IrAu
_chemical_formula_sum 'Cu3 Ir1 Au1'
_cell_length_a 4.6164
_cell_length_b 4.6164
_cell_length_c 4.6164
_cell_angle_alpha 90.00
_cell_angle_beta 90.00
_cell_angle_gamma 90.00
_space_group_name_H-M_alt 'P 1'
_space_group_IT_number 1
_space_group_name_Hall 'P 1'
loop_
_atom_site_label
_atom_site_fract_x
_atom_site_fract_y
_atom_site_fract_z
_atom_site_occupancy
Ir1 0.5000 0.5000 0.5000 1
Cu1 0.0000 0.5000 0.0000 1
Au1 0.0000 0.0000 0.0000 1
Cu2 0.0000 0.0000 0.5000 1
Cu3 0.5000 0.0000 0.0000 1
```

No. 3
This record from Alexandria via LeMat-Bulk describes crystalline AlPdW2 at its relaxed geometry. The functional is PBE-GGA.

## Properties
- total moment (μB per cell) = 0.00
- DFT formation energy (eV per atom) = 0.681

The structure in CIF format:
```
data_AlPdW2
_chemical_formula_sum 'Al2 Pd2 W4'
_cell_length_a 7.1664
_cell_length_b 7.1664
_cell_length_c 5.7090
_cell_angle_alpha 51.12
_cell_angle_beta 51.12
_cell_angle_gamma 90.00
_space_group_name_H-M_alt 'P 1'
_space_group_IT_number 1
_space_group_name_Hall 'P 1'
loop_
_atom_site_label
_atom_site_fract_x
_atom_site_fract_y
_atom_site_fract_z
_atom_site_occupancy
W1 0.1223 0.6250 0.2500 1
Al1 0.5000 0.5000 0.0000 1
Al2 0.2500 0.7500 0.5000 1
Pd1 0.0000 0.0000 0.0000 1
W2 0.3750 0.3723 0.7500 1
Pd2 0.7500 0.2500 0.5000 1
W3 0.6277 0.1250 0.2500 1
W4 0.8750 0.8777 0.7500 1
```

No. 4
This record from Alexandria via LeMat-Bulk describes crystalline TmTh2Hg5 at its relaxed geometry. The functional is PBE-GGA.

## Properties
- total moment (μB per cell) = 0.00
- DFT formation energy (eV per atom) = -0.266

The structure in CIF format:
```
data_TmTh2Hg5
_chemical_formula_sum 'Tm1 Th2 Hg5'
_cell_length_a 5.1347
_cell_length_b 5.1347
_cell_length_c 8.5646
_cell_angle_alpha 107.44
_cell_angle_beta 107.44
_cell_angle_gamma 90.00
_space_group_name_H-M_alt 'P 1'
_space_group_IT_number 1
_space_group_name_Hall 'P 1'
loop_
_atom_site_label
_atom_site_fract_x
_atom_site_fract_y
_atom_site_fract_z
_atom_site_occupancy
Hg1 0.8854 0.3854 0.7707 1
Hg2 0.1146 0.6146 0.2293 1
Th1 0.7396 0.7396 0.4792 1
Hg3 0.5000 0.5000 0.0000 1
Th2 0.2604 0.2604 0.5208 1
Hg4 0.6146 0.1146 0.2293 1
Tm1 0.0000 0.0000 0.0000 1
Hg5 0.3854 0.8854 0.7707 1
```

No. 5
This record from Alexandria via LeMat-Bulk describes crystalline ReSb2H5 at its relaxed geometry. The functional is PBE-GGA.

## Properties
- total moment (μB per cell) = 0.00

The structure in CIF format:
```
data_ReSb2H5
_chemical_formula_sum 'Re1 Sb2 H5'
_cell_length_a 4.9307
_cell_length_b 4.9715
_cell_length_c 4.5373
_cell_angle_alpha 121.38
_cell_angle_beta 92.42
_cell_angle_gamma 87.60
_space_group_name_H-M_alt 'P 1'
_space_group_IT_number 1
_space_group_name_Hall 'P 1'
loop_
_atom_site_label
_atom_site_fract_x
_atom_site_fract_y
_atom_site_fract_z
_atom_site_occupancy
H1 0.1466 0.0920 0.3941 1
H2 0.0258 0.0769 0.7553 1
H3 0.7501 0.8319 0.2018 1
Re1 0.9892 0.9217 0.0045 1
H4 0.6950 0.0171 0.8625 1
Sb1 0.6707 0.3872 0.5557 1
H5 0.3278 0.9014 0.9396 1
Sb2 0.1716 0.5487 0.2865 1
```

No. 6
This record from Alexandria via LeMat-Bulk describes crystalline AlAg2SnTe4 at its relaxed geometry. The functional is PBE-GGA.

## Properties
- total moment (μB per cell) = 0.00
- formation energy from raw total energies (meV/atom) = -216

The structure in CIF format:
```
data_AlAg2SnTe4
_chemical_formula_sum 'Al1 Ag2 Sn1 Te4'
_cell_length_a 6.5229
_cell_length_b 6.5234
_cell_length_c 7.9317
_cell_angle_alpha 114.31
_cell_angle_beta 114.30
_cell_angle_gamma 90.00
_space_group_name_H-M_alt 'P 1'
_space_group_IT_number 1
_space_group_name_Hall 'P 1'
loop_
_atom_site_label
_atom_site_fract_x
_atom_site_fract_y
_atom_site_fract_z
_atom_site_occupancy
Te1 0.1213 0.1437 0.7406 1
Te2 0.3280 0.8525 0.2026 1
Al1 0.9859 0.4859 0.9717 1
Te3 0.8751 0.3504 0.2027 1
Sn1 0.7356 0.7355 0.4718 1
Ag1 0.2359 0.2358 0.4718 1
Ag2 0.4859 0.9863 0.9719 1
Te4 0.6193 0.5970 0.7411 1
```

No. 7
This record from Alexandria via LeMat-Bulk describes crystalline Ac2ErSi3Pd12 at its relaxed geometry. The functional is PBE-GGA.

## Properties
- total moment (μB per cell) = 0.00
- formation energy from raw total energies (meV/atom) = -509

The structure in CIF format:
```
data_Ac2ErSi3Pd12
_chemical_formula_sum 'Ac2 Er1 Si3 Pd12'
_cell_length_a 7.0008
_cell_length_b 7.0008
_cell_length_c 7.0008
_cell_angle_alpha 83.77
_cell_angle_beta 83.77
_cell_angle_gamma 83.77
_space_group_name_H-M_alt 'P 1'
_space_group_IT_number 1
_space_group_name_Hall 'P 1'
loop_
_atom_site_label
_atom_site_fract_x
_atom_site_fract_y
_atom_site_fract_z
_atom_site_occupancy
Pd1 0.9245 0.3589 0.3589 1
Pd2 0.3233 0.8220 0.8220 1
Pd3 0.3589 0.9245 0.3589 1
Si1 0.5000 0.0000 0.0000 1
Pd4 0.8220 0.8220 0.3233 1
Pd5 0.8220 0.3233 0.8220 1
Pd6 0.0755 0.6411 0.6411 1
Er1 0.0000 0.0000 0.0000 1
Pd7 0.6411 0.6411 0.0755 1
Ac1 0.3672 0.3672 0.3672 1
Pd8 0.6767 0.1780 0.1780 1
Pd9 0.1780 0.6767 0.1780 1
Si2 0.0000 0.5000 0.0000 1
Pd10 0.3589 0.3589 0.9245 1
Si3 0.0000 0.0000 0.5000 1
Pd11 0.1780 0.1780 0.6767 1
Ac2 0.6328 0.6328 0.6328 1
Pd12 0.6411 0.0755 0.6411 1
```

No. 8
This record from Alexandria via LeMat-Bulk describes crystalline CsZn2Sb3 at its relaxed geometry. The functional is PBE-GGA.

## Properties
- total moment (μB per cell) = 0.00
- formation energy from raw total energies (meV/atom) = -147

The structure in CIF format:
```
data_CsZn2Sb3
_chemical_formula_sum 'Cs2 Zn4 Sb6'
_cell_length_a 7.7038
_cell_length_b 8.1613
_cell_length_c 7.3573
_cell_angle_alpha 123.69
_cell_angle_beta 90.00
_cell_angle_gamma 90.00
_space_group_name_H-M_alt 'P 1'
_space_group_IT_number 1
_space_group_name_Hall 'P 1'
loop_
_atom_site_label
_atom_site_fract_x
_atom_site_fract_y
_atom_site_fract_z
_atom_site_occupancy
Sb1 0.2500 0.2061 0.7652 1
Sb2 0.7500 0.7939 0.2348 1
Zn1 0.0000 0.1721 0.0000 1
Zn2 0.0000 0.8279 0.0000 1
Cs1 0.7500 0.3237 0.6475 1
Sb3 0.7500 0.8750 0.7500 1
Cs2 0.2500 0.6763 0.3525 1
Sb4 0.2500 0.1250 0.2500 1
Zn3 0.5000 0.8279 0.0000 1
Sb5 0.7500 0.4409 0.2348 1
Zn4 0.5000 0.1721 0.0000 1
Sb6 0.2500 0.5591 0.7652 1
```

For the records above, the corresponding E_tot values read -7.206; -3.425; -8.030; -2.868; -4.510; -3.467; -5.585; -2.775 eV per atom.